# CaLaZn2Au2 GGA-PBE optimized geometry
# energy of formation from the pure elements: -634 meV/atom
data_CaLaZn2Au2
_space_group_name_H-M_alt 'P -3 m 1'
_space_group_IT_number 164
_space_group_name_Hall '-P 3 2"'
_cell_length_a 4.6123
_cell_length_b 4.6123
_cell_length_c 7.5129
_cell_angle_alpha 90.00
_cell_angle_beta 90.00
_cell_angle_gamma 120.00
loop_
_atom_site_label
_atom_site_fract_x
_atom_site_fract_y
_atom_site_fract_z
_atom_site_occupancy
Ca1 0.0000 0.0000 0.0000 1
La1 0.0000 0.0000 0.5000 1
Zn1 0.3333 0.6667 0.7610 1
Au1 0.3333 0.6667 0.2447 1



# Ti6TlN GGA-PBE optimized geometry
# formation energy (no corrections): -0.422 eV per atom
data_Ti6TlN
_space_group_name_H-M_alt 'R -3 m'
_space_group_IT_number 166
_space_group_name_Hall '-R 3 2"'
_cell_length_a 8.1041
_cell_length_b 8.1041
_cell_length_c 6.9281
_cell_angle_alpha 90.00
_cell_angle_beta 90.00
_cell_angle_gamma 120.00
loop_
_atom_site_label
_atom_site_fract_x
_atom_site_fract_y
_atom_site_fract_z
_atom_site_occupancy
Ti1 0.0772 0.5386 0.3155 1
Tl1 0.0000 0.0000 0.0000 1
N1 0.0000 0.0000 0.5000 1



# PmEr5Sc4 GGA-PBE optimized geometry
# energy of formation from the pure elements: 337 meV/atom
# excess energy over the best structure of this formula in the dataset: 0.045 eV per atom
data_PmEr5Sc4
_space_group_name_H-M_alt 'I 4'
_space_group_IT_number 79
_space_group_name_Hall 'I 4'
_cell_length_a 9.786
_cell_length_b 9.786
_cell_length_c 6.139
_cell_angle_alpha 90.00
_cell_angle_beta 90.00
_cell_angle_gamma 90.00
loop_
_atom_site_label
_atom_site_fract_x
_atom_site_fract_y
_atom_site_fract_z
_atom_site_occupancy
Pm1 0.000 0.000 0.000 1
Er1 0.000 0.000 0.455 1
Er2 0.146 0.755 0.726 1
Sc1 0.057 0.642 0.229 1



# Be4C GGA-PBE optimized geometry
# energy of formation from the pure elements: 653 meV/atom
# excess energy over the best structure of this formula in the dataset: 0.178 eV per atom
data_Be4C
_space_group_name_H-M_alt 'I m -3 m'
_space_group_IT_number 229
_space_group_name_Hall '-I 4 2 3'
_cell_length_a 4.366
_cell_length_b 4.366
_cell_length_c 4.366
_cell_angle_alpha 90.00
_cell_angle_beta 90.00
_cell_angle_gamma 90.00
loop_
_atom_site_label
_atom_site_fract_x
_atom_site_fract_y
_atom_site_fract_z
_atom_site_occupancy
Be1 0.250 0.250 0.250 1
C1 0.000 0.000 0.000 1



# SmNF3 GGA-PBE optimized geometry
# formation energy (no corrections): -2.131 eV per atom
data_SmNF3
_space_group_name_H-M_alt 'P 1 21/m 1'
_space_group_IT_number 11
_space_group_name_Hall '-P 2yb'
_cell_length_a 4.500
_cell_length_b 7.250
_cell_length_c 6.554
_cell_angle_alpha 90.00
_cell_angle_beta 105.11
_cell_angle_gamma 90.00
loop_
_atom_site_label
_atom_site_fract_x
_atom_site_fract_y
_atom_site_fract_z
_atom_site_occupancy
Sm1 0.030 0.250 0.062 1
N1 0.333 0.250 0.530 1
F1 0.074 0.541 0.204 1
F2 0.459 0.750 0.907 1



# PmGdErPu GGA-PBE optimized geometry
# energy of formation from the pure elements: 224 meV/atom
data_PmGdErPu
_space_group_name_H-M_alt 'F -4 3 m'
_space_group_IT_number 216
_space_group_name_Hall 'F -4 2 3'
_cell_length_a 7.953
_cell_length_b 7.953
_cell_length_c 7.953
_cell_angle_alpha 90.00
_cell_angle_beta 90.00
_cell_angle_gamma 90.00
loop_
_atom_site_label
_atom_site_fract_x
_atom_site_fract_y
_atom_site_fract_z
_atom_site_occupancy
Pm1 0.000 0.000 0.000 1
Gd1 0.250 0.250 0.250 1
Er1 0.000 0.000 0.500 1
Pu1 0.250 0.250 0.750 1



# Ho8SiGe3Te4 GGA-PBE optimized geometry
# formation energy (no corrections): -1.150 eV per atom
data_Ho8SiGe3Te4
_space_group_name_H-M_alt 'R -3 m'
_space_group_IT_number 166
_space_group_name_Hall '-R 3 2"'
_cell_length_a 8.4387
_cell_length_b 8.4387
_cell_length_c 21.1834
_cell_angle_alpha 90.00
_cell_angle_beta 90.00
_cell_angle_gamma 120.00
loop_
_atom_site_label
_atom_site_fract_x
_atom_site_fract_y
_atom_site_fract_z
_atom_site_occupancy
Ho1 0.0000 0.0000 0.2397 1
Ho2 0.0011 0.5006 0.2396 1
Si1 0.0000 0.0000 0.5000 1
Ge1 0.0000 0.5000 0.5000 1
Te1 0.0000 0.0000 0.0000 1
Te2 0.0000 0.5000 0.0000 1



# Sm4Tm3Tl2 GGA-PBE optimized geometry
# energy of formation from the pure elements: -92 meV/atom
data_Sm4Tm3Tl2
_space_group_name_H-M_alt 'C 1 2/c 1'
_space_group_IT_number 15
_space_group_name_Hall '-C 2yc'
_cell_length_a 14.501
_cell_length_b 12.304
_cell_length_c 6.565
_cell_angle_alpha 90.00
_cell_angle_beta 107.51
_cell_angle_gamma 90.00
loop_
_atom_site_label
_atom_site_fract_x
_atom_site_fract_y
_atom_site_fract_z
_atom_site_occupancy
Sm1 0.066 0.233 0.025 1
Sm2 0.187 0.327 0.644 1
Tm1 0.000 0.494 0.750 1
Tm2 0.110 0.045 0.459 1
Tl1 0.218 0.417 0.139 1



One value per record, in order, for V: 23.1 16.4 29.4 8.3 20.6 31.4 27.2 31.0 Å³ per atom.